[1]
Compound: As3PtO
Source: Alexandria
Functional: GGA-PBE
Structure: optimized geometry

Cell: 4.3409 4.3409 4.3409 Å, 90.00 90.00 90.00°
Element x y z (fractional)
1 As 0.0000 0.5000 0.0000
2 As 0.5000 0.0000 0.0000
3 O 0.0000 0.0000 0.0000
4 As 0.0000 0.0000 0.5000
5 Pt 0.5000 0.5000 0.5000

Computed properties:
energy above the most stable polymorph in this dataset = 0 meV per atom
Fermi-level density of states = 0.6965 states/eV per atom
uncorrected energy = -4.731 eV per atom

***

[2]
Compound: AsPt3O
Source: Alexandria
Functional: GGA-PBE
Structure: optimized geometry

Cell: 4.3059 4.3059 4.3059 Å, 90.00 90.00 90.00°
Element x y z (fractional)
1 Pt 0.0000 0.0000 0.5000
2 As 0.5000 0.5000 0.5000
3 Pt 0.0000 0.5000 0.0000
4 O 0.0000 0.0000 0.0000
5 Pt 0.5000 0.0000 0.0000

Computed properties:
energy above the most stable polymorph in this dataset = 0 meV per atom
Fermi-level density of states = 0.5836 states/eV per atom
uncorrected energy = -4.978 eV per atom

***

[3]
Compound: AsPt6O12
Source: Alexandria
Functional: GGA-PBE
Structure: optimized geometry

Cell: 6.0485 6.0485 6.0485 Å, 96.94 96.94 96.94°
Element x y z (fractional)
1 O 0.1788 0.4391 0.6016
2 As 0.0000 0.0000 0.0000
3 O 0.4391 0.6016 0.1788
4 O 0.0000 0.6900 0.9837
5 Pt 0.7120 0.8685 0.4264
6 O 0.5609 0.3984 0.8212
7 Pt 0.2880 0.1315 0.5736
8 O 0.9837 0.0000 0.6900
9 Pt 0.1315 0.5736 0.2880
10 Pt 0.4264 0.7120 0.8685
11 O 0.0000 0.3100 0.0163
12 O 0.3100 0.0163 0.0000
13 O 0.3984 0.8212 0.5609
14 O 0.6016 0.1788 0.4391
15 Pt 0.5736 0.2880 0.1315
16 O 0.8212 0.5609 0.3984
17 O 0.6900 0.9837 0.0000
18 Pt 0.8685 0.4264 0.7120
19 O 0.0163 0.0000 0.3100

Computed properties:
Fermi-level density of states = 0.3243 states/eV per atom
uncorrected energy = -5.600 eV per atom

***

[4]
Compound: AsPt2O6
Source: Alexandria
Functional: GGA-PBE
Structure: optimized geometry

Cell: 4.6302 4.6302 9.3924 Å, 90.00 90.00 90.00°
Element x y z (fractional)
1 O 0.6983 0.6983 0.5000
2 O 0.8017 0.1983 0.0000
3 O 0.1890 0.8110 0.6596
4 O 0.8110 0.1890 0.6596
5 Pt 0.5000 0.5000 0.6681
6 Pt 0.0000 0.0000 0.8319
7 O 0.6890 0.6890 0.8404
8 O 0.1983 0.8017 0.0000
9 O 0.8110 0.1890 0.3404
10 O 0.3110 0.3110 0.8404
11 O 0.6890 0.6890 0.1596
12 O 0.3110 0.3110 0.1596
13 O 0.1890 0.8110 0.3404
14 As 0.5000 0.5000 0.0000
15 Pt 0.0000 0.0000 0.1681
16 O 0.3017 0.3017 0.5000
17 Pt 0.5000 0.5000 0.3319
18 As 0.0000 0.0000 0.5000

Computed properties:
Fermi-level density of states = 0.0903 states/eV per atom
uncorrected energy = -5.805 eV per atom

***

[5]
Compound: AsPtO4
Source: Alexandria
Functional: GGA-PBE
Structure: optimized geometry

Cell: 2.7669 5.5675 6.4818 Å, 121.16 90.00 104.39°
Element x y z (fractional)
1 O 0.6321 0.2642 0.0770
2 O 0.3679 0.7358 0.9230
3 Pt 0.5000 0.0000 0.5000
4 O 0.9433 0.8865 0.6562
5 O 0.0567 0.1135 0.3438
6 As 0.0000 0.0000 0.0000

Computed properties:
Fermi-level density of states = 0.4910 states/eV per atom
uncorrected energy = -5.716 eV per atom

***

[6]
Compound: AsPt2O
Source: Alexandria
Functional: GGA-PBE
Structure: optimized geometry

Cell: 4.2687 4.2687 4.2687 Å, 60.00 60.00 60.00°
Element x y z (fractional)
1 Pt 0.2500 0.2500 0.2500
2 O 0.0000 0.0000 0.0000
3 Pt 0.7500 0.7500 0.7500
4 As 0.5000 0.5000 0.5000

Computed properties:
energy above the most stable polymorph in this dataset = 57 meV per atom
Fermi-level density of states = 0.4050 states/eV per atom
uncorrected energy = -5.310 eV per atom

***

[7]
Compound: AsPtO3
Source: Alexandria
Functional: GGA-PBE
Structure: optimized geometry

Cell: 3.9537 3.9537 3.9537 Å, 90.00 90.00 90.00°
Element x y z (fractional)
1 O 0.0000 0.0000 0.5000
2 Pt 0.0000 0.0000 0.0000
3 O 0.5000 0.0000 0.0000
4 O 0.0000 0.5000 0.0000
5 As 0.5000 0.5000 0.5000

Computed properties:
Fermi-level density of states = 0.5169 states/eV per atom
uncorrected energy = -4.908 eV per atom

***

[8]
Compound: AsPtO3
Source: Alexandria
Functional: GGA-PBE
Structure: optimized geometry

Cell: 3.8004 3.8004 3.8004 Å, 90.00 90.00 90.00°
Element x y z (fractional)
1 O 0.5000 0.0000 0.0000
2 O 0.0000 0.5000 0.0000
3 As 0.0000 0.0000 0.0000
4 Pt 0.5000 0.5000 0.5000
5 O 0.0000 0.0000 0.5000

Computed properties:
Fermi-level density of states = 0.6691 states/eV per atom
uncorrected energy = -4.988 eV per atom